# Ag6SeBr2Cl3

Crystalline Ag6SeBr2Cl3 at its relaxed geometry (GGA-PBE, the Alexandria database).

Values from the calculation:
Crystal system: monoclinic
Energy relative to the elements, uncorrected in eV/atom: -0.280
Total energy in eV/atom: -2.74
Volume in Å³/f.u.: 287
DOS at the Fermi energy in states/eV per cell: 5.172

a = 6.921 Å, b = 6.921 Å, c = 7.442 Å
α = 104.90°, β = 104.90°, γ = 114.16°
Atoms (fractional coordinates):
Ag  0.905  0.584  0.754
Ag  0.808  0.808  0.227
Ag  0.095  0.416  0.246
Ag  0.584  0.905  0.754
Ag  0.192  0.192  0.773
Ag  0.416  0.095  0.246
Se  0.000  0.000  0.000
Br  0.334  0.666  0.000
Br  0.666  0.334  0.000
Cl  0.178  0.822  0.500
Cl  0.822  0.178  0.500
Cl  0.500  0.500  0.500